(1)
Computed, not measured: a relaxed structure of PaBPt at the GGA-PBE level of DFT.

a b c (Å): 4.467 4.467 4.467
angles (deg): 60.00 60.00 60.00
Fractional coordinates of all 3 atoms:
B (0.250, 0.250, 0.250)
Pa (0.000, 0.000, 0.000)
Pt (0.750, 0.750, 0.750)

Calculated values
- space-group type = F-43m
- offset from the most stable computed form (eV/atom) = 0.803



(2)
Computed, not measured: a relaxed structure of PaBPt at the GGA-PBE level of DFT.

a b c (Å): 4.200 4.200 4.200
angles (deg): 60.00 60.00 60.00
Fractional coordinates of all 3 atoms:
B (0.000, 0.000, 0.000)
Pa (0.250, 0.250, 0.250)
Pt (0.750, 0.750, 0.750)

Calculated values
- space-group type = F-43m
- offset from the most stable computed form (eV/atom) = 0.000



(3)
Computed, not measured: a relaxed structure of PaBPt at the GGA-PBE level of DFT.

a b c (Å): 4.403 4.403 4.403
angles (deg): 60.00 60.00 60.00
Fractional coordinates of all 3 atoms:
B (0.250, 0.250, 0.250)
Pa (0.750, 0.750, 0.750)
Pt (0.000, 0.000, 0.000)

Calculated values
- space-group type = F-43m
- offset from the most stable computed form (eV/atom) = 0.516



(4)
Computed, not measured: a relaxed structure of PaReB at the GGA-PBE level of DFT.

a b c (Å): 4.349 4.349 4.349
angles (deg): 60.00 60.00 60.00
Fractional coordinates of all 3 atoms:
B (0.250, 0.250, 0.250)
Pa (0.000, 0.000, 0.000)
Re (0.750, 0.750, 0.750)

Calculated values
- space-group type = F-43m
- offset from the most stable computed form (eV/atom) = 1.101



(5)
Computed, not measured: a relaxed structure of PaRe2B2 at the GGA-PBE level of DFT.

a b c (Å): 5.252 5.252 4.421
angles (deg): 103.30 103.30 34.74
Fractional coordinates of all 5 atoms:
B (0.731, 0.731, 0.107)
B (0.269, 0.269, 0.893)
Pa (0.000, 0.000, 0.000)
Re (0.342, 0.342, 0.419)
Re (0.658, 0.658, 0.581)

Calculated values
- space-group type = C2/m
- raw total energy (Ha/atom) = -0.366



(6)
Computed, not measured: a relaxed structure of PaReB at the GGA-PBE level of DFT.

a b c (Å): 4.156 4.156 4.156
angles (deg): 60.00 60.00 60.00
Fractional coordinates of all 3 atoms:
B (0.000, 0.000, 0.000)
Pa (0.250, 0.250, 0.250)
Re (0.750, 0.750, 0.750)

Calculated values
- space-group type = F-43m
- offset from the most stable computed form (eV/atom) = 0.000



(7)
Computed, not measured: a relaxed structure of PaBS6 at the GGA-PBE level of DFT.

a b c (Å): 3.870 7.731 7.862
angles (deg): 65.31 85.77 81.97
Fractional coordinates of all 8 atoms:
B (0.000, 0.000, 0.000)
Pa (0.000, 0.000, 0.500)
S (0.029, 0.172, 0.074)
S (0.446, 0.284, 0.336)
S (0.568, 0.816, 0.376)
S (0.432, 0.184, 0.624)
S (0.554, 0.716, 0.664)
S (0.971, 0.828, 0.926)

Calculated values
- space-group type = P-1
- raw total energy (Ha/atom) = -0.214



(8)
Computed, not measured: a relaxed structure of ScPaB at the GGA-PBE level of DFT.

a b c (Å): 4.301 4.301 4.301
angles (deg): 60.00 60.00 60.00
Fractional coordinates of all 3 atoms:
B (0.000, 0.000, 0.000)
Pa (0.250, 0.250, 0.250)
Sc (0.750, 0.750, 0.750)

Calculated values
- space-group type = F-43m
- offset from the most stable computed form (eV/atom) = 0.000



(9)
Computed, not measured: a relaxed structure of ScPaB at the GGA-PBE level of DFT.

a b c (Å): 4.394 4.394 4.394
angles (deg): 60.00 60.00 60.00
Fractional coordinates of all 3 atoms:
B (0.250, 0.250, 0.250)
Pa (0.000, 0.000, 0.000)
Sc (0.750, 0.750, 0.750)

Calculated values
- space-group type = F-43m
- offset from the most stable computed form (eV/atom) = 1.179



(10)
Computed, not measured: a relaxed structure of SrPaB at the GGA-PBE level of DFT.

a b c (Å): 4.599 4.599 4.599
angles (deg): 60.00 60.00 60.00
Fractional coordinates of all 3 atoms:
B (0.000, 0.000, 0.000)
Pa (0.250, 0.250, 0.250)
Sr (0.750, 0.750, 0.750)

Calculated values
- space-group type = F-43m
- offset from the most stable computed form (eV/atom) = 0.000



(11)
Computed, not measured: a relaxed structure of PaTaB at the GGA-PBE level of DFT.

a b c (Å): 4.233 4.233 4.233
angles (deg): 60.00 60.00 60.00
Last column: magnetic moment on the atom in μB.
Fractional coordinates of all 3 atoms:
B (0.000, 0.000, 0.000)  0.00
Pa (0.250, 0.250, 0.250)  0.12
Ta (0.750, 0.750, 0.750)  0.12

Calculated values
- space-group type = F-43m
- offset from the most stable computed form (eV/atom) = 0.000



(12)
Computed, not measured: a relaxed structure of PaTaB at the GGA-PBE level of DFT.

a b c (Å): 4.403 4.403 4.403
angles (deg): 60.00 60.00 60.00
Fractional coordinates of all 3 atoms:
B (0.500, 0.500, 0.500)
Pa (0.250, 0.250, 0.250)
Ta (0.000, 0.000, 0.000)

Calculated values
- space-group type = F-43m
- offset from the most stable computed form (eV/atom) = 1.351



no.,spin magnetization (μB/f.u.)
1,0.0
2,0.0
3,0.0
4,0.0
5,0.0
6,0.0
7,0.0
8,0.0
9,2.8
10,0.0
11,0.3
12,0.0